Entry A
Entry from Alexandria: YMo2Cl after structural relaxation (PBE).

a b c (Å): 4.787 4.787 6.532
angles (deg): 90.00 90.00 90.00
Space group I-4m2 (No. 119)
Unique sites:
Y  0.000  0.000  0.000 x2
Mo  0.000  0.000  0.500 x2
Mo  0.000  0.500  0.750 x2
Cl  0.000  0.500  0.250 x2

Calculated values
total moment = 0.0 μB/f.u.
calculated volume = 149.7 Å³/cell

=====

Entry B
Entry from Alexandria: YMo2Cl after structural relaxation (PBE).

a b c (Å): 3.263 4.958 5.343
angles (deg): 90.00 90.00 90.00
Space group Pmmm (No. 47)
Unique sites:
Y  0.000  0.000  0.000 x1
Mo  0.500  0.500  0.205 x2
Cl  0.000  0.000  0.500 x1

Calculated values
total moment = 0.0 μB/f.u.
calculated volume = 86.5 Å³/cell

=====

Entry C
Entry from Alexandria: YMo2Cl after structural relaxation (PBE).

a b c (Å): 6.643 6.643 6.643
angles (deg): 90.00 90.00 90.00
Space group Fm-3m (No. 225)
Unique sites:
Y  0.000  0.000  0.000 x4
Mo  0.250  0.250  0.250 x8
Cl  0.000  0.000  0.500 x4

Calculated values
total moment = 0.0 μB/f.u.
calculated volume = 293.1 Å³/cell

=====

Ranked by calculated energy, most stable first: entry B, entry A, entry C.

=====

Entry A
Entry from Alexandria: YMo2Cl after structural relaxation (PBE).

a b c (Å): 3.380 4.836 9.184
angles (deg): 90.00 90.00 90.00
Space group Cmmm (No. 65)
Unique sites:
Y  0.000  0.000  0.000 x2
Mo  0.000  0.500  0.273 x4
Cl  0.000  0.000  0.500 x2

Calculated values
total moment = 0.0 μB/f.u.
calculated volume = 150.1 Å³/cell

=====

Entry B
Entry from Alexandria: YMo2Cl after structural relaxation (PBE).

a b c (Å): 4.603 4.603 17.007
angles (deg): 90.00 90.00 90.00
Space group I-42d (No. 122)
Unique sites:
Y  0.000  0.000  0.000 x4
Mo  0.082  0.250  0.625 x8
Cl  0.000  0.000  0.500 x4

Calculated values
total moment = 0.0 μB/f.u.
calculated volume = 360.4 Å³/cell

=====

Entry C
Entry from Alexandria: YMo2Cl after structural relaxation (PBE).

a b c (Å): 3.407 5.280 9.076
angles (deg): 90.00 90.00 90.00
Space group Cmm2 (No. 35)
Unique sites:
Y  0.000  0.000  0.000 x2
Mo  0.000  0.000  0.463 x2
Mo  0.000  0.500  0.268 x2
Cl  0.000  0.500  0.768 x2

Calculated values
total moment = 0.0 μB/f.u.
calculated volume = 163.2 Å³/cell

=====

Ranked by calculated energy, most stable first: entry C, entry A, entry B.

=====

Entry A
Entry from Alexandria: YMoCl3 after structural relaxation (PBE).

a b c (Å): 4.895 4.895 4.895
angles (deg): 90.00 90.00 90.00
Space group Pm-3m (No. 221)
Unique sites:
Y  0.000  0.000  0.000 x1
Mo  0.500  0.500  0.500 x1
Cl  0.000  0.500  0.500 x3

Calculated values
total moment = 0.9 μB/f.u.
calculated volume = 117.3 Å³/cell

=====

Entry B
Entry from Alexandria: YMoCl3 after structural relaxation (PBE).

a b c (Å): 5.332 5.332 5.332
angles (deg): 90.00 90.00 90.00
Space group Pm-3m (No. 221)
Unique sites:
Y  0.000  0.000  0.000 x1
Mo  0.500  0.500  0.500 x1
Cl  0.000  0.000  0.500 x3

Calculated values
total moment = 5.9 μB/f.u.
calculated volume = 151.6 Å³/cell

=====

Ranked by calculated energy, most stable first: entry B, entry A.

=====

Entry A
Entry from Alexandria: YMo3Cl after structural relaxation (PBE).

a b c (Å): 4.542 4.542 4.542
angles (deg): 90.00 90.00 90.00
Space group Pm-3m (No. 221)
Unique sites:
Y  0.000  0.000  0.000 x1
Mo  0.000  0.500  0.500 x3
Cl  0.500  0.500  0.500 x1

Calculated values
total moment = 1.5 μB/f.u.
calculated volume = 93.7 Å³/cell

=====

Entry B
Entry from Alexandria: YMo3Cl after structural relaxation (PBE).

a b c (Å): 4.970 4.970 4.970
angles (deg): 90.00 90.00 90.00
Space group Pm-3m (No. 221)
Unique sites:
Y  0.000  0.000  0.000 x1
Mo  0.000  0.000  0.500 x3
Cl  0.500  0.500  0.500 x1

Calculated values
total moment = 1.2 μB/f.u.
calculated volume = 122.7 Å³/cell

=====

Ranked by calculated energy, most stable first: entry A, entry B.

=====

Entry A
Entry from Alexandria: ZnMo2Cl after structural relaxation (PBE).

a b c (Å): 3.262 3.262 6.542
angles (deg): 90.00 90.00 90.00
Space group P4/mmm (No. 123)
Unique sites:
Zn  0.000  0.000  0.000 x1
Mo  0.500  0.500  0.184 x2
Cl  0.000  0.000  0.500 x1

Calculated values
total moment = 0.0 μB/f.u.
calculated volume = 69.6 Å³/cell

=====

Entry B
Entry from Alexandria: ZnMo2Cl after structural relaxation (PBE).

a b c (Å): 2.762 2.762 8.217
angles (deg): 90.00 90.00 90.00
Space group P4/mmm (No. 123)
Unique sites:
Zn  0.000  0.000  0.000 x1
Mo  0.500  0.500  0.245 x2
Cl  0.000  0.000  0.500 x1

Calculated values
total moment = 0.0 μB/f.u.
calculated volume = 62.7 Å³/cell

=====

Entry C
Entry from Alexandria: ZnMo2Cl after structural relaxation (PBE).

a b c (Å): 3.214 4.894 8.601
angles (deg): 90.00 90.00 90.00
Space group Cmm2 (No. 35)
Unique sites:
Zn  0.000  0.000  0.000 x2
Mo  0.000  0.000  0.521 x2
Mo  0.000  0.500  0.749 x2
Cl  0.000  0.500  0.272 x2

Calculated values
total moment = 0.0 μB/f.u.
calculated volume = 135.3 Å³/cell

=====

Entry D
Entry from Alexandria: ZnMo2Cl after structural relaxation (PBE).

a b c (Å): 9.249 2.836 4.970
angles (deg): 90.00 104.28 90.00
Space group C2/m (No. 12)
Unique sites:
Zn  0.000  0.000  0.000 x2
Mo  0.246  0.000  0.752 x4
Cl  0.000  0.500  0.500 x2

Calculated values
total moment = 0.0 μB/f.u.
calculated volume = 126.3 Å³/cell

=====

Ranked by calculated energy, most stable first: entry C, entry D, entry A, entry B.

=====

Entry A
Entry from Alexandria: ZnMo2Cl after structural relaxation (PBE).

a b c (Å): 2.8797 2.8797 25.7300
angles (deg): 90.00 90.00 120.00
Space group R-3m (No. 166, hexagonal axes)
Unique sites:
Zn  0.0000  0.0000  0.0000 x3
Mo  0.0000  0.0000  0.2464 x6
Cl  0.0000  0.0000  0.5000 x3

Calculated values
total moment = 0.0 μB/f.u.
calculated volume = 184.8 Å³/cell

=====

Entry B
Entry from Alexandria: ZnMo2Cl after structural relaxation (PBE).

a b c (Å): 2.859 4.503 5.029
angles (deg): 90.00 96.91 90.00
Space group Pm (No. 6)
Unique sites:
Zn  0.000  0.000  0.000 x1
Mo  0.366  0.500  0.732 x1
Mo  0.609  0.000  0.505 x1
Cl  0.547  0.500  0.228 x1

Calculated values
total moment = 0.0 μB/f.u.
calculated volume = 64.3 Å³/cell

=====

Entry C
Entry from Alexandria: ZnMo2Cl after structural relaxation (PBE).

a b c (Å): 4.015 4.015 7.881
angles (deg): 90.00 90.00 90.00
Space group I-4m2 (No. 119)
Unique sites:
Zn  0.000  0.000  0.000 x2
Mo  0.000  0.000  0.500 x2
Mo  0.000  0.500  0.250 x2
Cl  0.000  0.500  0.750 x2

Calculated values
total moment = 0.0 μB/f.u.
calculated volume = 127.1 Å³/cell

=====

Entry D
Entry from Alexandria: ZnMo2Cl after structural relaxation (PBE).

a b c (Å): 3.767 3.767 19.190
angles (deg): 90.00 90.00 90.00
Space group I-42d (No. 122)
Unique sites:
Zn  0.000  0.000  0.000 x4
Mo  0.242  0.250  0.625 x8
Cl  0.000  0.000  0.500 x4

Calculated values
total moment = 0.0 μB/f.u.
calculated volume = 272.3 Å³/cell

=====

Ranked by calculated energy, most stable first: entry A, entry B, entry D, entry C.

=====

Entry A
Entry from Alexandria: ZnMoCl after structural relaxation (PBE).

a b c (Å): 6.503 6.503 6.503
angles (deg): 90.00 90.00 90.00
Space group F-43m (No. 216)
Unique sites:
Zn  0.000  0.000  0.000 x4
Mo  0.250  0.250  0.250 x4
Cl  0.000  0.000  0.500 x4

Calculated values
total moment = 4.4 μB/f.u.
calculated volume = 275.0 Å³/cell

=====

Entry B
Entry from Alexandria: ZnMoCl after structural relaxation (PBE).

a b c (Å): 3.0028 3.0028 7.6483
angles (deg): 90.00 90.00 120.00
Space group P3m1 (No. 156)
Unique sites:
Zn  0.0000  0.0000  0.0000 x1
Mo  0.6667  0.3333  0.7211 x1
Cl  0.3333  0.6667  0.4979 x1

Calculated values
total moment = 0.0 μB/f.u.
calculated volume = 59.7 Å³/cell

=====

Ranked by calculated energy, most stable first: entry B, entry A.

=====

Entry A
Entry from Alexandria: ZrMoCl2 after structural relaxation (PBE).

a b c (Å): 14.108 3.223 4.583
angles (deg): 90.00 94.22 90.00
Space group C2/m (No. 12)
Unique sites:
Zr  0.000  0.000  0.000 x2
Mo  0.000  0.500  0.500 x2
Cl  0.140  0.500  0.215 x4

Calculated values
total moment = 0.7 μB/f.u.
calculated volume = 207.8 Å³/cell

=====

Entry B
Entry from Alexandria: ZrMoCl2 after structural relaxation (PBE).

a b c (Å): 6.540 6.540 6.540
angles (deg): 90.00 90.00 90.00
Space group Fm-3m (No. 225)
Unique sites:
Zr  0.000  0.000  0.000 x4
Mo  0.000  0.000  0.500 x4
Cl  0.250  0.250  0.250 x8

Calculated values
total moment = 3.4 μB/f.u.
calculated volume = 279.7 Å³/cell

=====

Ranked by calculated energy, most stable first: entry A, entry B.

=====

Entry A
Entry from Alexandria: ZrMoCl2 after structural relaxation (PBE).

a b c (Å): 13.207 3.183 4.178
angles (deg): 90.00 108.07 90.00
Space group Cm (No. 8)
Unique sites:
Zr  0.000  0.000  0.000 x2
Mo  0.337  0.000  0.839 x2
Cl  0.105  0.500  0.602 x2
Cl  0.354  0.500  0.357 x2

Calculated values
total moment = 0.3 μB/f.u.
calculated volume = 167.0 Å³/cell

=====

Entry B
Entry from Alexandria: ZrMoCl2 after structural relaxation (PBE).

a b c (Å): 3.0941 3.0941 26.2248
angles (deg): 90.00 90.00 120.00
Space group R-3m (No. 166, hexagonal axes)
Unique sites:
Zr  0.0000  0.0000  0.0000 x3
Mo  0.0000  0.0000  0.5000 x3
Cl  0.0000  0.0000  0.4072 x6

Calculated values
total moment = 0.0 μB/f.u.
calculated volume = 217.4 Å³/cell

=====

Entry C
Entry from Alexandria: ZrMoCl2 after structural relaxation (PBE).

a b c (Å): 4.251 4.251 16.709
angles (deg): 90.00 90.00 90.00
Space group I-42d (No. 122)
Unique sites:
Zr  0.000  0.000  0.000 x4
Mo  0.000  0.000  0.500 x4
Cl  0.238  0.250  0.625 x8

Calculated values
total moment = 0.0 μB/f.u.
calculated volume = 301.9 Å³/cell

=====

Ranked by calculated energy, most stable first: entry B, entry A, entry C.

=====

Entry A
Entry from Alexandria: ZrMoCl2 after structural relaxation (PBE).

a b c (Å): 3.967 3.254 7.589
angles (deg): 90.00 102.88 90.00
Space group Pm (No. 6)
Unique sites:
Zr  0.000  0.000  0.000 x1
Mo  0.548  0.500  0.157 x1
Cl  0.331  0.500  0.813 x1
Cl  0.656  0.000  0.406 x1

Calculated values
total moment = 0.0 μB/f.u.
calculated volume = 95.5 Å³/cell

=====

Entry B
Entry from Alexandria: ZrMoCl2 after structural relaxation (PBE).

a b c (Å): 4.284 4.284 3.639
angles (deg): 90.00 90.00 90.00
Space group P4/mmm (No. 123)
Unique sites:
Zr  0.000  0.000  0.000 x1
Mo  0.500  0.500  0.000 x1
Cl  0.000  0.500  0.500 x2

Calculated values
total moment = 0.0 μB/f.u.
calculated volume = 66.8 Å³/cell

=====

Entry C
Entry from Alexandria: ZrMoCl2 after structural relaxation (PBE).

a b c (Å): 2.991 2.991 10.356
angles (deg): 90.00 90.00 90.00
Space group P4/mmm (No. 123)
Unique sites:
Zr  0.000  0.000  0.000 x1
Mo  0.000  0.000  0.500 x1
Cl  0.500  0.500  0.159 x2

Calculated values
total moment = 1.3 μB/f.u.
calculated volume = 92.6 Å³/cell

=====

Entry D
Entry from Alexandria: ZrMoCl2 after structural relaxation (PBE).

a b c (Å): 2.941 5.888 8.804
angles (deg): 90.00 90.00 90.00
Space group Cmmm (No. 65)
Unique sites:
Zr  0.000  0.000  0.000 x2
Mo  0.000  0.000  0.500 x2
Cl  0.000  0.500  0.257 x4

Calculated values
total moment = 1.5 μB/f.u.
calculated volume = 152.5 Å³/cell

=====

Ranked by calculated energy, most stable first: entry A, entry D, entry C, entry B.